{
  "formula": "PuSc2UO8",
  "functional": "GGA-PBE",
  "state": "relaxed",
  "magmom_total_mub_per_cell": 4.0,
  "raw_formation_energy_ev_per_atom": -3.24,
  "energy_ev_per_cell": -116.84,
  "lattice_angstrom": [[3.425, -3.471, 0.000], [3.425, 3.471, 0.000], [0.000, 0.000, 6.878]],
  "species": ["Pu", "Sc", "Sc", "U", "O", "O", "O", "O", "O", "O", "O", "O"],
  "frac_coords": [[0.000, 0.000, 0.000], [0.500, 0.500, 0.246], [0.500, 0.500, 0.754], [0.000, 0.000, 0.500], [0.195, 0.805, 0.262], [0.195, 0.805, 0.738], [0.302, 0.302, 0.500], [0.310, 0.310, 0.000], [0.690, 0.690, 0.000], [0.698, 0.698, 0.500], [0.805, 0.195, 0.262], [0.805, 0.195, 0.738]]
}



{
  "formula": "LaZrF",
  "functional": "GGA-PBE",
  "state": "relaxed",
  "magmom_total_mub_per_cell": 0.0,
  "raw_formation_energy_ev_per_atom": -1.44,
  "energy_ev_per_cell": -39.34,
  "lattice_angstrom": [[4.962, -1.695, 0.000], [4.962, 1.695, 0.000], [-3.960, 0.000, 8.020]],
  "species": ["La", "La", "Zr", "Zr", "F", "F"],
  "frac_coords": [[0.034, 0.034, 0.324], [0.966, 0.966, 0.676], [0.344, 0.344, 0.945], [0.656, 0.656, 0.055], [0.244, 0.244, 0.645], [0.756, 0.756, 0.355]]
}



{
  "formula": "La2PrTl3S6",
  "functional": "GGA-PBE",
  "state": "relaxed",
  "magmom_total_mub_per_cell": 0.0,
  "raw_formation_energy_ev_per_atom": -1.50,
  "energy_ev_per_cell": -64.51,
  "lattice_angstrom": [[3.691, -6.394, 0.000], [3.691, 6.394, 0.000], [-2.461, 0.000, 7.455]],
  "species": ["La", "La", "Pr", "Tl", "Tl", "Tl", "S", "S", "S", "S", "S", "S"],
  "frac_coords": [[0.167, 0.833, 0.000], [0.833, 0.167, 0.000], [0.500, 0.500, 0.000], [0.000, 0.000, 0.500], [0.333, 0.667, 0.500], [0.667, 0.333, 0.500], [0.100, 0.432, 0.795], [0.237, 0.237, 0.205], [0.432, 0.100, 0.795], [0.568, 0.900, 0.205], [0.763, 0.763, 0.795], [0.900, 0.568, 0.205]]
}



{
  "formula": "TbNd6In2",
  "functional": "GGA-PBE",
  "state": "relaxed",
  "ef_ev_per_atom": -0.198,
  "magmom_total_mub_per_cell": 0.0,
  "energy_ev_per_cell": -40.49,
  "lattice_angstrom": [[6.575, -1.928, 0.000], [6.575, 1.928, 0.000], [-3.781, 0.000, 11.538]],
  "species": ["Tb", "Nd", "Nd", "Nd", "Nd", "Nd", "Nd", "In", "In"],
  "frac_coords": [[0.000, 0.000, 0.000], [0.017, 0.017, 0.339], [0.307, 0.307, 0.410], [0.317, 0.317, 0.123], [0.683, 0.683, 0.877], [0.693, 0.693, 0.590], [0.983, 0.983, 0.661], [0.359, 0.359, 0.802], [0.641, 0.641, 0.198]]
}



{
  "formula": "NaPaGa2Br8",
  "functional": "GGA-PBE",
  "state": "relaxed",
  "magmom_total_mub_per_cell": 0.0,
  "raw_formation_energy_ev_per_atom": -1.14,
  "energy_ev_per_cell": -43.95,
  "lattice_angstrom": [[7.032, 0.000, 0.000], [0.416, 7.306, 0.000], [0.014, 0.008, 8.948]],
  "species": ["Na", "Pa", "Ga", "Ga", "Br", "Br", "Br", "Br", "Br", "Br", "Br", "Br"],
  "frac_coords": [[0.000, 0.000, 0.000], [0.000, 0.000, 0.500], [0.500, 0.500, 0.221], [0.500, 0.500, 0.779], [0.217, 0.684, 0.501], [0.224, 0.138, 0.719], [0.225, 0.137, 0.280], [0.274, 0.672, 0.000], [0.726, 0.328, 0.000], [0.775, 0.863, 0.720], [0.776, 0.862, 0.281], [0.783, 0.316, 0.499]]
}



{
  "formula": "BaLa2TlOs",
  "functional": "GGA-PBE",
  "state": "relaxed",
  "ef_ev_per_atom": -0.054,
  "magmom_total_mub_per_cell": 0.0,
  "de_polymorph_mev_per_atom": 0,
  "energy_ev_per_cell": -25.64,
  "lattice_angstrom": [[5.592, 0.000, 0.000], [0.000, 5.592, 0.000], [0.000, 0.000, 5.571]],
  "species": ["Ba", "La", "La", "Tl", "Os"],
  "frac_coords": [[0.000, 0.000, 0.000], [0.000, 0.500, 0.500], [0.500, 0.000, 0.500], [0.500, 0.500, 0.000], [0.500, 0.500, 0.500]]
}